# 1
Compound: CeYHo2Se6
Source: Alexandria
Functional: PBE-GGA
Structure: optimized geometry

As for the magnetic moment: 1.0 μB/f.u. As for the total DFT energy (no corrections): -6.0687 eV/atom. The value obtained for the raw formation energy is -1.8226 eV per atom.

Cell lengths 7.2761, 7.2761, 19.4886 Å; angles 90.00, 90.00, 120.00 degrees
Space group R3 (No. 146, hexagonal axes)
Inequivalent atoms, fractional coordinates:
Ce1 0.0000 0.0000 0.0000 [3 per cell]
Y1 0.0000 0.0000 0.5045 [3 per cell]
Ho1 0.0000 0.0000 0.1988 [3 per cell]
Ho2 0.0000 0.0000 0.7018 [3 per cell]
Se1 0.0289 0.3568 0.7711 [9 per cell]
Se2 0.0461 0.6882 0.2706 [9 per cell]

---

# 2
Compound: BAsBr3
Source: Alexandria
Functional: PBE-GGA
Structure: optimized geometry

As for the magnetic moment: 0.0 μB/f.u. As for the total DFT energy (no corrections): -2.4621 eV/atom. The offset from the most stable computed form is 0.00 eV/f.u. The value obtained for the raw formation energy is 0.8071 eV per atom.

Cell lengths 4.734, 4.734, 4.734 Å; angles 90.00, 90.00, 90.00 degrees
Space group Pm-3m (No. 221)
Inequivalent atoms, fractional coordinates:
B1 0.000 0.000 0.000 [1 per cell]
As1 0.500 0.500 0.500 [1 per cell]
Br1 0.000 0.000 0.500 [3 per cell]

---

# 3
Compound: ThScNi2
Source: Alexandria
Functional: PBE-GGA
Structure: optimized geometry

As for the magnetic moment: 0.0 μB/f.u. As for the total DFT energy (no corrections): -6.7543 eV/atom. The offset from the most stable computed form is 0.16 eV/f.u.

Cell lengths 4.4752, 4.4752, 13.3821 Å; angles 90.00, 90.00, 120.00 degrees
Space group R-3m (No. 166, hexagonal axes)
Inequivalent atoms, fractional coordinates:
Th1 0.0000 0.0000 0.0000 [3 per cell]
Sc1 0.0000 0.0000 0.5000 [3 per cell]
Ni1 0.0000 0.0000 0.2135 [6 per cell]

---

# 4
Compound: HgIrBr2
Source: Alexandria
Functional: PBE-GGA
Structure: optimized geometry

As for the magnetic moment: 0.5 μB/f.u. As for the total DFT energy (no corrections): -2.1652 eV/atom. The offset from the most stable computed form is 3.53 eV/f.u. The value obtained for the raw formation energy is 0.9620 eV per atom.

Cell lengths 6.287, 7.848, 3.491 Å; angles 90.00, 90.00, 90.00 degrees
Space group Cmmm (No. 65)
Inequivalent atoms, fractional coordinates:
Hg1 0.000 0.000 0.000 [2 per cell]
Ir1 0.000 0.500 0.000 [2 per cell]
Br1 0.250 0.250 0.500 [4 per cell]

---

# 5
Compound: Sc2TaGe2
Source: Alexandria
Functional: PBE-GGA
Structure: optimized geometry

As for the magnetic moment: 0.0 μB/f.u. As for the total DFT energy (no corrections): -7.3682 eV/atom. The offset from the most stable computed form is 0.00 eV/f.u.

Cell lengths 7.022, 7.022, 3.786 Å; angles 90.00, 90.00, 90.00 degrees
Space group P4/mbm (No. 127)
Inequivalent atoms, fractional coordinates:
Sc1 0.172 0.328 0.000 [4 per cell]
Ta1 0.000 0.000 0.500 [2 per cell]
Ge1 0.134 0.634 0.500 [4 per cell]

---

# 6
Compound: BaSrTe2Ir
Source: Alexandria
Functional: PBE-GGA
Structure: optimized geometry

As for the magnetic moment: 0.0 μB/f.u. As for the total DFT energy (no corrections): -4.1343 eV/atom. The value obtained for the raw formation energy is -0.3845 eV per atom.

Cell lengths 5.669, 5.669, 5.340 Å; angles 90.00, 90.00, 90.00 degrees
Space group P4/mmm (No. 123)
Inequivalent atoms, fractional coordinates:
Ba1 0.000 0.000 0.000 [1 per cell]
Sr1 0.500 0.500 0.000 [1 per cell]
Te1 0.000 0.500 0.500 [2 per cell]
Ir1 0.000 0.000 0.500 [1 per cell]

---

# 7
Compound: CsK2GeS4
Source: Alexandria
Functional: PBE-GGA
Structure: optimized geometry

As for the magnetic moment: 1.1 μB/f.u. As for the total DFT energy (no corrections): -3.8391 eV/atom. The value obtained for the raw formation energy is -0.8172 eV per atom.

Cell lengths 7.907, 7.907, 9.003 Å; angles 90.00, 90.00, 90.00 degrees
Space group I-42m (No. 121)
Inequivalent atoms, fractional coordinates:
Cs1 0.000 0.000 0.000 [2 per cell]
K1 0.000 0.500 0.250 [4 per cell]
Ge1 0.000 0.000 0.500 [2 per cell]
S1 0.167 0.167 0.365 [8 per cell]